# NaCeMgF6

A relaxed structure of NaCeMgF6 (GGA-PBE, Alexandria).

For the total magnetization, the calculation gives 1.00 μB/f.u. Its total energy is -5.733 eV per atom. The energy relative to the elements, uncorrected comes out at -31.52 eV/f.u.

```
data_NaCeMgF6
_cell_length_a 5.8319
_cell_length_b 5.8319
_cell_length_c 9.1888
_cell_angle_alpha 90.00
_cell_angle_beta 90.00
_cell_angle_gamma 120.00
_space_group_name_H-M_alt 'P -3 1 c'
_space_group_IT_number 163
_space_group_name_Hall '-P 3 2c'
loop_
_atom_site_label
_atom_site_type_symbol
_atom_site_fract_x
_atom_site_fract_y
_atom_site_fract_z
Na1 Na 0.0000 0.0000 0.0000
Ce1 Ce 0.3333 0.6667 0.2500
Mg1 Mg 0.3333 0.6667 0.7500
F1 F 0.0384 0.3731 0.6336
```